Density functional theory data (GGA+U) for a relaxed structure of Rb2LiW2O7.

abc: 3.980 3.980 22.436
angles: 90.00 90.00 90.00
Space group I4/mmm (No. 139)
Inequivalent atoms, fractional coordinates:
Rb: 0.000 0.000 0.190
Li: 0.000 0.000 0.000
W: 0.000 0.000 0.411
O: 0.000 0.000 0.328
O: 0.000 0.000 0.500
O: 0.000 0.500 0.084

Computed properties:
V = 355.3 Å³/cell
crystal system = tetragonal
calculated total energy = -6.36 eV per atom